VASP calculation (PBE-GGA) on crystalline PmNdSm3Dy at its relaxed geometry.

Total magnetization   0.00 μB per cell
Formation energy from the elements   171 meV per atom

The structure in CIF format:
```
data_PmNdSm3Dy
_symmetry_space_group_name_H-M 'P 1'
_symmetry_Int_Tables_number 1
_cell_length_a 5.790
_cell_length_b 10.563
_cell_length_c 6.937
_cell_angle_alpha 90.17
_cell_angle_beta 90.00
_cell_angle_gamma 105.91
loop_
_symmetry_equiv_pos_as_xyz
'x,y,z'
loop_
_atom_site_label
_atom_site_fract_x
_atom_site_fract_y
_atom_site_fract_z
Sm1 0.836 0.672 0.260
Sm2 0.164 0.328 0.740
Sm3 0.219 0.438 0.248
Sm4 0.481 0.962 0.254
Sm5 0.781 0.562 0.752
Sm6 0.519 0.038 0.746
Dy1 0.648 0.296 0.469
Dy2 0.352 0.704 0.531
Nd1 0.944 0.888 0.743
Nd2 0.056 0.112 0.257
Pm1 0.354 0.707 0.976
Pm2 0.646 0.293 0.024
```

---

VASP calculation (PBE-GGA) on crystalline CdHg2HPb at its relaxed geometry.

Total magnetization   0.00 μB per cell

The structure in CIF format:
```
data_CdHg2HPb
_symmetry_space_group_name_H-M 'P 1'
_symmetry_Int_Tables_number 1
_cell_length_a 5.590
_cell_length_b 5.590
_cell_length_c 3.717
_cell_angle_alpha 90.00
_cell_angle_beta 90.00
_cell_angle_gamma 90.00
loop_
_symmetry_equiv_pos_as_xyz
'x,y,z'
loop_
_atom_site_label
_atom_site_fract_x
_atom_site_fract_y
_atom_site_fract_z
Hg1 0.500 0.000 0.000
Hg2 0.000 0.500 0.000
Cd1 0.000 0.000 0.500
Pb1 0.500 0.500 0.500
H1 0.000 0.000 0.000
```

---

VASP calculation (PBE-GGA) on crystalline CrAgTe2 at its relaxed geometry.

Total magnetization   3.36 μB per cell
Energy relative to the elements, uncorrected   0.026 eV/atom

The structure in CIF format:
```
data_CrAgTe2
_symmetry_space_group_name_H-M 'P 1'
_symmetry_Int_Tables_number 1
_cell_length_a 3.840
_cell_length_b 3.840
_cell_length_c 6.933
_cell_angle_alpha 90.00
_cell_angle_beta 90.00
_cell_angle_gamma 90.00
loop_
_symmetry_equiv_pos_as_xyz
'x,y,z'
loop_
_atom_site_label
_atom_site_fract_x
_atom_site_fract_y
_atom_site_fract_z
Ag1 0.000 0.000 0.490
Te1 0.500 0.500 0.359
Te2 0.000 0.000 0.893
Cr1 0.500 0.500 0.757
```

---

VASP calculation (PBE-GGA) on crystalline BaSrLa2 at its relaxed geometry.

Total magnetization   0.00 μB per cell
Offset from the most stable computed form   0 meV/atom
Formation energy from the elements   78 meV per atom

The structure in CIF format:
```
data_BaSrLa2
_symmetry_space_group_name_H-M 'P 1'
_symmetry_Int_Tables_number 1
_cell_length_a 3.958
_cell_length_b 3.958
_cell_length_c 11.774
_cell_angle_alpha 90.00
_cell_angle_beta 90.00
_cell_angle_gamma 90.08
loop_
_symmetry_equiv_pos_as_xyz
'x,y,z'
loop_
_atom_site_label
_atom_site_fract_x
_atom_site_fract_y
_atom_site_fract_z
La1 0.500 0.500 0.226
La2 0.000 0.000 0.029
Sr1 0.000 0.000 0.477
Ba1 0.500 0.500 0.769
```

---

VASP calculation (PBE-GGA) on crystalline NaZrPd2 at its relaxed geometry.

Total magnetization   0.00 μB per cell
Offset from the most stable computed form   129 meV/atom
Formation energy from the elements   -319 meV per atom

The structure in CIF format:
```
data_NaZrPd2
_symmetry_space_group_name_H-M 'P 1'
_symmetry_Int_Tables_number 1
_cell_length_a 4.691
_cell_length_b 4.691
_cell_length_c 4.691
_cell_angle_alpha 60.00
_cell_angle_beta 60.00
_cell_angle_gamma 60.00
loop_
_symmetry_equiv_pos_as_xyz
'x,y,z'
loop_
_atom_site_label
_atom_site_fract_x
_atom_site_fract_y
_atom_site_fract_z
Pd1 0.750 0.750 0.750
Pd2 0.250 0.250 0.250
Na1 0.000 0.000 0.000
Zr1 0.500 0.500 0.500
```

---

VASP calculation (PBE-GGA) on crystalline RbCeIn2Br8 at its relaxed geometry.

Total magnetization   0.55 μB per cell
Energy relative to the elements, uncorrected   -1.209 eV/atom

The structure in CIF format:
```
data_RbCeIn2Br8
_symmetry_space_group_name_H-M 'P 1'
_symmetry_Int_Tables_number 1
_cell_length_a 7.206
_cell_length_b 6.867
_cell_length_c 9.493
_cell_angle_alpha 89.96
_cell_angle_beta 89.97
_cell_angle_gamma 89.54
loop_
_symmetry_equiv_pos_as_xyz
'x,y,z'
loop_
_atom_site_label
_atom_site_fract_x
_atom_site_fract_y
_atom_site_fract_z
Br1 0.837 0.240 0.212
Br2 0.163 0.760 0.788
Br3 0.838 0.240 0.788
Br4 0.318 0.253 0.000
Br5 0.376 0.285 0.500
Br6 0.624 0.715 0.500
Br7 0.162 0.760 0.212
Br8 0.682 0.747 0.000
Ce1 0.000 0.000 0.000
In1 0.500 0.500 0.744
In2 0.500 0.500 0.256
Rb1 0.000 0.000 0.500
```

---

VASP calculation (PBE-GGA) on crystalline Si2SbCl at its relaxed geometry.

Total magnetization   0.00 μB per cell
Offset from the most stable computed form   432 meV/atom
Energy relative to the elements, uncorrected   0.311 eV/atom

The structure in CIF format:
```
data_Si2SbCl
_symmetry_space_group_name_H-M 'P 1'
_symmetry_Int_Tables_number 1
_cell_length_a 5.827
_cell_length_b 5.827
_cell_length_c 5.578
_cell_angle_alpha 74.61
_cell_angle_beta 74.61
_cell_angle_gamma 30.28
loop_
_symmetry_equiv_pos_as_xyz
'x,y,z'
loop_
_atom_site_label
_atom_site_fract_x
_atom_site_fract_y
_atom_site_fract_z
Si1 0.992 0.992 0.103
Si2 0.299 0.299 0.153
Cl1 0.501 0.501 0.441
Sb1 0.709 0.709 0.804
```

---

VASP calculation (PBE-GGA) on crystalline NaLa2MoC at its relaxed geometry.

Total magnetization   1.85 μB per cell
Formation energy from the elements   1762 meV per atom

The structure in CIF format:
```
data_NaLa2MoC
_symmetry_space_group_name_H-M 'P 1'
_symmetry_Int_Tables_number 1
_cell_length_a 5.514
_cell_length_b 4.038
_cell_length_c 5.514
_cell_angle_alpha 90.00
_cell_angle_beta 90.00
_cell_angle_gamma 90.00
loop_
_symmetry_equiv_pos_as_xyz
'x,y,z'
loop_
_atom_site_label
_atom_site_fract_x
_atom_site_fract_y
_atom_site_fract_z
La1 0.500 0.000 0.000
La2 0.000 0.000 0.500
C1 0.000 0.500 0.000
Na1 0.000 0.000 0.000
Mo1 0.500 0.500 0.500
```

---

Fermi-level density of states values, unit states/eV/cell, following the record order: 17.339; 1.927; 1.727; 5.301; 3.188; 7.202; 1.861; 6.546.
Total DFT energy (no corrections) values, unit eV/atom, following the record order: -4.542; -1.524; -4.663; -3.287; -5.382; -3.356; -3.892; -4.484.